A plane-wave DFT calculation with PBE was carried out for a relaxed structure of Pu2ScPd3.

Output
crystal system	orthorhombic
calculated density	11502	kg/m³
E_form	-558	meV/atom
magnetic moment	1.876	μB/atom

Geometry as CIF:
```
data_Pu2ScPd3
_chemical_formula_sum 'Pu4 Sc2 Pd6'
_symmetry_space_group_name_H-M 'P 1'
_symmetry_Int_Tables_number 1
_symmetry_space_group_name_Hall 'P 1'
_cell_length_a 3.358
_cell_length_b 4.872
_cell_length_c 15.042
_cell_angle_alpha 90.00
_cell_angle_beta 90.00
_cell_angle_gamma 90.00
loop_
_atom_site_label
_atom_site_fract_x
_atom_site_fract_y
_atom_site_fract_z
Pu1 0.000 0.000 0.673
Pu2 0.000 0.000 0.327
Pu3 0.000 0.500 0.173
Pu4 0.000 0.500 0.827
Sc1 0.000 0.500 0.500
Sc2 0.000 0.000 0.000
Pd1 0.500 0.500 0.646
Pd2 0.499 0.000 0.500
Pd3 0.500 0.500 0.354
Pd4 0.500 0.000 0.146
Pd5 0.501 0.500 0.000
Pd6 0.500 0.000 0.854
```



A plane-wave DFT calculation with PBE was carried out for a relaxed structure of TaNbGaHg2.

Output
crystal system	tetragonal
calculated density	8538	kg/m³
E_form	1159	meV/atom
magnetic moment	0.000	μB/atom

Geometry as CIF:
```
data_TaNbGaHg2
_chemical_formula_sum 'Ta1 Nb1 Ga1 Hg2'
_symmetry_space_group_name_H-M 'P 1'
_symmetry_Int_Tables_number 1
_symmetry_space_group_name_Hall 'P 1'
_cell_length_a 5.470
_cell_length_b 4.841
_cell_length_c 5.470
_cell_angle_alpha 90.00
_cell_angle_beta 90.00
_cell_angle_gamma 90.00
loop_
_atom_site_label
_atom_site_fract_x
_atom_site_fract_y
_atom_site_fract_z
Nb1 0.000 0.000 0.000
Hg1 0.000 0.000 0.500
Hg2 0.500 0.000 0.000
Ga1 0.500 0.500 0.500
Ta1 0.000 0.500 0.000
```



A plane-wave DFT calculation with PBE was carried out for a relaxed structure of Cu2P.

Output
crystal system	cubic
calculated density	6494	kg/m³
E_form	397	meV/atom
magnetic moment	0.000	μB/atom

Geometry as CIF:
```
data_Cu2P
_chemical_formula_sum 'Cu4 P2'
_symmetry_space_group_name_H-M 'P 1'
_symmetry_Int_Tables_number 1
_symmetry_space_group_name_Hall 'P 1'
_cell_length_a 4.853
_cell_length_b 4.853
_cell_length_c 4.853
_cell_angle_alpha 60.00
_cell_angle_beta 60.00
_cell_angle_gamma 60.00
loop_
_atom_site_label
_atom_site_fract_x
_atom_site_fract_y
_atom_site_fract_z
Cu1 0.625 0.125 0.125
Cu2 0.125 0.125 0.625
Cu3 0.125 0.125 0.125
Cu4 0.125 0.625 0.125
P1 0.500 0.500 0.500
P2 0.750 0.750 0.750
```



A plane-wave DFT calculation with PBE was carried out for a relaxed structure of VAg2Cl2.

Output
polymorph energy (0 for the lowest one)	178.5	meV/atom
crystal system	tetragonal
calculated density	4391	kg/m³
raw formation energy	0.11	eV per atom
magnetic moment	0.618	μB/atom

Geometry as CIF:
```
data_VAg2Cl2
_chemical_formula_sum 'V1 Ag2 Cl2'
_symmetry_space_group_name_H-M 'P 1'
_symmetry_Int_Tables_number 1
_symmetry_space_group_name_Hall 'P 1'
_cell_length_a 3.593
_cell_length_b 3.593
_cell_length_c 10.209
_cell_angle_alpha 79.86
_cell_angle_beta 79.86
_cell_angle_gamma 90.00
loop_
_atom_site_label
_atom_site_fract_x
_atom_site_fract_y
_atom_site_fract_z
V1 0.000 0.000 0.000
Ag1 0.750 0.250 0.500
Ag2 0.250 0.750 0.500
Cl1 0.426 0.426 0.148
Cl2 0.574 0.574 0.852
```



A plane-wave DFT calculation with PBE was carried out for a relaxed structure of LaPmSeN.

Output
crystal system	trigonal
calculated density	7113	kg/m³
raw formation energy	-1.65	eV per atom
magnetic moment	0.000	μB/atom

Geometry as CIF:
```
data_LaPmSeN
_chemical_formula_sum 'La1 Pm1 Se1 N1'
_symmetry_space_group_name_H-M 'P 1'
_symmetry_Int_Tables_number 1
_symmetry_space_group_name_Hall 'P 1'
_cell_length_a 3.853
_cell_length_b 3.853
_cell_length_c 7.196
_cell_angle_alpha 74.47
_cell_angle_beta 74.47
_cell_angle_gamma 60.00
loop_
_atom_site_label
_atom_site_fract_x
_atom_site_fract_y
_atom_site_fract_z
La1 0.516 0.516 0.453
Pm1 0.984 0.984 0.048
Se1 0.747 0.747 0.758
N1 0.253 0.253 0.242
```



A plane-wave DFT calculation with PBE was carried out for a relaxed structure of CoTe2Se.

Output
crystal system	orthorhombic
calculated density	6531	kg/m³
raw formation energy	0.09	eV per atom
magnetic moment	0.000	μB/atom

Geometry as CIF:
```
data_CoTe2Se
_chemical_formula_sum 'Co1 Te2 Se1'
_symmetry_space_group_name_H-M 'P 1'
_symmetry_Int_Tables_number 1
_symmetry_space_group_name_Hall 'P 1'
_cell_length_a 6.588
_cell_length_b 6.588
_cell_length_c 6.588
_cell_angle_alpha 148.85
_cell_angle_beta 137.17
_cell_angle_gamma 53.90
loop_
_atom_site_label
_atom_site_fract_x
_atom_site_fract_y
_atom_site_fract_z
Co1 0.494 0.494 0.000
Se1 0.357 0.857 0.500
Te1 0.995 0.995 0.000
Te2 0.654 0.154 0.500
```



A plane-wave DFT calculation with PBE was carried out for a relaxed structure of Y4MgZn2Au.

Output
crystal system	trigonal
calculated density	6102	kg/m³
E_form	-427	meV/atom
magnetic moment	0.000	μB/atom

Geometry as CIF:
```
data_Y4MgZn2Au
_chemical_formula_sum 'Y4 Mg1 Zn2 Au1'
_symmetry_space_group_name_H-M 'P 1'
_symmetry_Int_Tables_number 1
_symmetry_space_group_name_Hall 'P 1'
_cell_length_a 5.141
_cell_length_b 5.141
_cell_length_c 8.921
_cell_angle_alpha 73.25
_cell_angle_beta 73.25
_cell_angle_gamma 60.00
loop_
_atom_site_label
_atom_site_fract_x
_atom_site_fract_y
_atom_site_fract_z
Y1 0.380 0.380 0.859
Y2 0.871 0.871 0.386
Y3 0.129 0.129 0.614
Y4 0.620 0.620 0.141
Mg1 0.000 0.000 0.000
Zn1 0.740 0.740 0.779
Zn2 0.260 0.260 0.221
Au1 0.500 0.500 0.500
```



A plane-wave DFT calculation with PBE was carried out for a relaxed structure of NpTi2N.

Output
polymorph energy (0 for the lowest one)	383.8	meV/atom
crystal system	tetragonal
calculated density	10883	kg/m³
raw formation energy	-0.23	eV per atom
magnetic moment	0.000	μB/atom

Geometry as CIF:
```
data_NpTi2N
_chemical_formula_sum 'Np1 Ti2 N1'
_symmetry_space_group_name_H-M 'P 1'
_symmetry_Int_Tables_number 1
_symmetry_space_group_name_Hall 'P 1'
_cell_length_a 2.700
_cell_length_b 2.700
_cell_length_c 7.257
_cell_angle_alpha 90.00
_cell_angle_beta 90.00
_cell_angle_gamma 90.00
loop_
_atom_site_label
_atom_site_fract_x
_atom_site_fract_y
_atom_site_fract_z
Np1 0.500 0.500 0.000
N1 0.500 0.500 0.500
Ti1 0.000 0.000 0.671
Ti2 0.000 0.000 0.329
```



A plane-wave DFT calculation with PBE was carried out for a relaxed structure of Ca7As6.

Output
crystal system	trigonal
calculated density	2792	kg/m³
E_form	-483	meV/atom
magnetic moment	0.000	μB/atom

Geometry as CIF:
```
data_Ca7As6
_chemical_formula_sum 'Ca7 As6'
_symmetry_space_group_name_H-M 'P 1'
_symmetry_Int_Tables_number 1
_symmetry_space_group_name_Hall 'P 1'
_cell_length_a 10.563
_cell_length_b 10.563
_cell_length_c 10.563
_cell_angle_alpha 39.76
_cell_angle_beta 39.76
_cell_angle_gamma 39.76
loop_
_atom_site_label
_atom_site_fract_x
_atom_site_fract_y
_atom_site_fract_z
As1 0.890 0.890 0.890
As2 0.110 0.110 0.110
As3 0.809 0.809 0.809
As4 0.191 0.191 0.191
As5 0.666 0.666 0.666
As6 0.334 0.334 0.334
Ca1 0.937 0.430 0.430
Ca2 0.430 0.430 0.937
Ca3 0.430 0.937 0.430
Ca4 0.063 0.570 0.570
Ca5 0.570 0.063 0.570
Ca6 0.570 0.570 0.063
Ca7 0.500 0.500 0.500
```



A plane-wave DFT calculation with PBE was carried out for a relaxed structure of SrAl2CoPb.

Output
crystal system	tetragonal
calculated density	3716	kg/m³
E_form	1162	meV/atom
magnetic moment	0.348	μB/atom

Geometry as CIF:
```
data_SrAl2CoPb
_chemical_formula_sum 'Sr1 Al2 Co1 Pb1'
_symmetry_space_group_name_H-M 'P 1'
_symmetry_Int_Tables_number 1
_symmetry_space_group_name_Hall 'P 1'
_cell_length_a 5.379
_cell_length_b 6.298
_cell_length_c 5.379
_cell_angle_alpha 90.00
_cell_angle_beta 90.00
_cell_angle_gamma 90.00
loop_
_atom_site_label
_atom_site_fract_x
_atom_site_fract_y
_atom_site_fract_z
Pb1 0.000 0.000 0.000
Sr1 0.000 0.500 0.000
Co1 0.500 0.500 0.500
Al1 0.000 0.000 0.500
Al2 0.500 0.000 0.000
```



A plane-wave DFT calculation with PBE was carried out for a relaxed structure of AlAsOs3.

Output
polymorph energy (0 for the lowest one)	0.0	meV/atom
crystal system	cubic
calculated density	12271	kg/m³
E_form	1444	meV/atom
magnetic moment	0.000	μB/atom

Geometry as CIF:
```
data_AlAsOs3
_chemical_formula_sum 'Al1 As1 Os3'
_symmetry_space_group_name_H-M 'P 1'
_symmetry_Int_Tables_number 1
_symmetry_space_group_name_Hall 'P 1'
_cell_length_a 4.498
_cell_length_b 4.498
_cell_length_c 4.498
_cell_angle_alpha 90.00
_cell_angle_beta 90.00
_cell_angle_gamma 90.00
loop_
_atom_site_label
_atom_site_fract_x
_atom_site_fract_y
_atom_site_fract_z
As1 0.000 0.000 0.000
Os1 0.000 0.500 0.000
Os2 0.000 0.000 0.500
Os3 0.500 0.000 0.000
Al1 0.500 0.500 0.500
```



A plane-wave DFT calculation with PBE was carried out for a relaxed structure of Pr6Nd8Sm.

Output
polymorph energy (0 for the lowest one)	0.0	meV/atom
crystal system	trigonal
calculated density	6626	kg/m³
E_form	139	meV/atom
magnetic moment	0.000	μB/atom

Geometry as CIF:
```
data_Pr6Nd8Sm
_chemical_formula_sum 'Pr6 Nd8 Sm1'
_symmetry_space_group_name_H-M 'P 1'
_symmetry_Int_Tables_number 1
_symmetry_space_group_name_Hall 'P 1'
_cell_length_a 9.513
_cell_length_b 9.513
_cell_length_c 8.799
_cell_angle_alpha 57.28
_cell_angle_beta 57.28
_cell_angle_gamma 60.00
loop_
_atom_site_label
_atom_site_fract_x
_atom_site_fract_y
_atom_site_fract_z
Pr1 0.444 0.893 0.923
Pr2 0.107 0.261 0.077
Pr3 0.261 0.556 0.077
Pr4 0.739 0.444 0.923
Pr5 0.893 0.739 0.923
Pr6 0.556 0.107 0.077
Nd1 0.336 0.231 0.518
Nd2 0.769 0.085 0.482
Nd3 0.085 0.664 0.482
Nd4 0.572 0.572 0.285
Nd5 0.428 0.428 0.715
Nd6 0.915 0.336 0.518
Nd7 0.231 0.915 0.518
Nd8 0.664 0.769 0.482
Sm1 0.000 0.000 0.000
```